! Li2Sc2Tl (PBE-GGA, relaxed); values from VASP
&SYSTEM
  ibrav = 0, nat = 10, ntyp = 3
/
ATOMIC_SPECIES
Li 6.94 Li.upf
Sc 44.96 Sc.upf
Tl 204.38 Tl.upf
CELL_PARAMETERS angstrom
6.7430 0.0000 0.0000
0.0000 6.7430 0.0000
0.0000 0.0000 4.5141
ATOMIC_POSITIONS angstrom
Li 0.8468 2.5247 0.0000
Li 2.5247 5.8962 0.0000
Li 4.2183 0.8468 0.0000
Li 5.8962 4.2183 0.0000
Sc 1.2594 4.6309 2.2571
Sc 2.1121 1.2594 2.2571
Sc 4.6309 5.4836 2.2571
Sc 5.4836 2.1121 2.2571
Tl 0.0000 0.0000 0.0000
Tl 3.3715 3.3715 0.0000
! Magnetic moment   2.3 μB per cell
! Mass density   4.986 g/cm3
! Excess energy over the best structure of this formula in the dataset   0 meV/atom
! E   -3.780 eV/atom
! Energy relative to the elements   -0.009 eV per atom
! DOS(E_F)   3.625 states/eV/f.u.

! LiScTl2 (PBE-GGA, relaxed); values from VASP
&SYSTEM
  ibrav = 0, nat = 4, ntyp = 3
/
ATOMIC_SPECIES
Li 6.94 Li.upf
Sc 44.96 Sc.upf
Tl 204.38 Tl.upf
CELL_PARAMETERS angstrom
1.7221 0.9943 9.2407
-1.7221 0.9943 9.2407
0.0000 -1.9886 9.2407
ATOMIC_POSITIONS angstrom
Li 0.0000 0.0000 0.0000
Sc 0.0000 0.0000 4.6220
Tl 0.0000 0.0000 16.2885
Tl 0.0000 0.0000 20.6821
! Magnetic moment   0.0 μB per cell
! Mass density   8.057 g/cm3
! Excess energy over the best structure of this formula in the dataset   133 meV/atom
! E   -3.389 eV/atom
! Energy relative to the elements   -0.145 eV per atom
! DOS(E_F)   2.363 states/eV/f.u.